1.
DFT (GGA-PBE) results for crystalline VZnNiIr at its relaxed geometry.

Cell: 4.2149 4.2149 4.2149 Å, 60.00 60.00 60.00°
Closest atoms and distances in Å follow each position.
Element x y z (fractional)
V  0.0000  0.0000  0.0000  4 Ni 2.58, 4 Ir 2.58
Zn  0.5000  0.5000  0.5000  4 Ni 2.58, 4 Ir 2.58
Ni  0.7500  0.7500  0.7500  4 Zn 2.58, 4 V 2.58
Ir  0.2500  0.2500  0.2500  4 Zn 2.58, 4 V 2.58

Computed properties:
Distance to the lowest polymorph of the same formula (eV per atom): 0.026
Symmetry: F-43m (216)
VASP energy (eV/atom): -6.518
D(E_F) (states/eV per cell): 4.6
ΔE_f (eV/f.u.): -1.04

***

2.
DFT (GGA-PBE) results for crystalline TmLuMgNi at its relaxed geometry.

Cell: 4.9589 4.9589 4.9589 Å, 60.00 60.00 60.00°
Closest atoms and distances in Å follow each position.
Element x y z (fractional)
Tm  0.0000  0.0000  0.0000  4 Ni 3.04, 4 Mg 3.04
Lu  0.5000  0.5000  0.5000  4 Mg 3.04, 4 Ni 3.04
Mg  0.2500  0.2500  0.2500  4 Tm 3.04, 4 Lu 3.04
Ni  0.7500  0.7500  0.7500  4 Lu 3.04, 4 Tm 3.04

Computed properties:
Symmetry: F-43m (216)
VASP energy (eV/atom): -4.232
D(E_F) (states/eV per cell): 3.0
ΔE_f (eV/f.u.): -0.56

***

3.
DFT (GGA-PBE) results for crystalline Re2HgOs at its relaxed geometry.

Cell: 2.7557 2.7557 9.6823 Å, 90.00 90.00 116.80°
Closest atoms and distances in Å follow each position.
Element x y z (fractional)
Re  0.0000  0.0000  0.2304  2 Os 2.66, 6 Re 2.76-2.89
Re  0.0000  0.0000  0.7696  2 Os 2.66, 6 Re 2.76-2.89
Hg  0.5000  0.5000  0.5000  6 Hg 2.76-2.89, 4 Re 2.98
Os  0.5000  0.5000  0.0000  4 Re 2.66, 6 Os 2.76-2.89

Computed properties:
Symmetry: Cmmm (65)
VASP energy (eV/atom): -8.383
D(E_F) (states/eV per cell): 3.2
ΔE_f (eV/f.u.): 2.89

***

4.
DFT (GGA-PBE) results for crystalline ErIn2Hg2 at its relaxed geometry.

Cell: 5.0893 5.0893 12.4035 Å, 90.00 90.00 120.00°
Closest atoms and distances in Å follow each position.
Element x y z (fractional)
Er  0.0000  0.0000  0.2500  5 In 2.94-3.10
Er  0.0000  0.0000  0.7500  5 In 2.94-3.10
In  0.0000  0.0000  0.0000  2 Er 3.10, 6 Hg 3.28
In  0.0000  0.0000  0.5000  2 Er 3.10, 6 Hg 3.28
In  0.3333  0.6667  0.2500  3 Er 2.94
In  0.6667  0.3333  0.7500  3 Er 2.94
Hg  0.3333  0.6667  0.6179  1 Hg 3.28, 6 In 3.28-3.36, 3 Er 3.36
Hg  0.3333  0.6667  0.8821  1 Hg 3.28, 6 In 3.28-3.36, 3 Er 3.36
Hg  0.6667  0.3333  0.1179  1 Hg 3.28, 6 In 3.28-3.36, 3 Er 3.36
Hg  0.6667  0.3333  0.3821  1 Hg 3.28, 6 In 3.28-3.36, 3 Er 3.36

Computed properties:
Symmetry: P6_3/mmc (194)
VASP energy (eV/atom): -2.156
D(E_F) (states/eV per cell): 8.5
ΔE_f (eV/f.u.): -0.14

***

5.
DFT (GGA-PBE) results for crystalline Bi3IrI at its relaxed geometry.

Cell: 5.4667 5.4667 5.4667 Å, 90.00 90.00 90.00°
Closest atoms and distances in Å follow each position.
Element x y z (fractional)
Bi  0.0000  0.0000  0.5000  2 Ir 2.73
Bi  0.0000  0.5000  0.0000  2 Ir 2.73
Bi  0.5000  0.0000  0.0000  2 Ir 2.73
Ir  0.0000  0.0000  0.0000  6 Bi 2.73
I  0.5000  0.5000  0.5000  12 Bi 3.87

Computed properties:
Distance to the lowest polymorph of the same formula (eV per atom): 0.496
Symmetry: Pm-3m (221)
VASP energy (eV/atom): -3.979
D(E_F) (states/eV per cell): 7.0
Formation energy without anion corrections (eV per atom): 0.43

***

6.
DFT (GGA-PBE) results for crystalline MgMoI3 at its relaxed geometry.

Cell: 5.7068 5.7068 5.7068 Å, 90.00 90.00 90.00°
Closest atoms and distances in Å follow each position.
Element x y z (fractional)
Mg  0.0000  0.0000  0.0000  6 I 2.85
Mo  0.5000  0.5000  0.5000  12 I 4.04
I  0.0000  0.0000  0.5000  2 Mg 2.85
I  0.0000  0.5000  0.0000  2 Mg 2.85
I  0.5000  0.0000  0.0000  2 Mg 2.85

Computed properties:
Distance to the lowest polymorph of the same formula (eV per atom): 0.135
Symmetry: Pm-3m (221)
VASP energy (eV/atom): -3.038
D(E_F) (states/eV per cell): 5.5
Formation energy without anion corrections (eV per atom): 0.38

***

7.
DFT (GGA-PBE) results for crystalline DyHo2Er5Tm at its relaxed geometry.

Cell: 10.1821 10.1821 10.4582 Å, 90.00 90.00 148.54°
Closest atoms and distances in Å follow each position.
Element x y z (fractional)
Dy  0.2001  0.7999  0.5000  2 Ho 3.37-3.64, 8 Er 3.45-3.73, 2 Tm 3.58
Dy  0.7999  0.2001  0.0000  2 Ho 3.37-3.64, 8 Er 3.45-3.73, 2 Tm 3.58
Ho  0.1096  0.8904  0.2264  6 Er 3.35-3.56, 1 Dy 3.37, 2 Tm 3.62
Ho  0.1131  0.8869  0.8073  9 Er 3.30-3.59, 1 Dy 3.64
Ho  0.8869  0.1131  0.3073  9 Er 3.30-3.59, 1 Dy 3.64
Ho  0.8904  0.1096  0.7264  6 Er 3.35-3.56, 1 Dy 3.37, 2 Tm 3.62
Er  0.0184  0.9816  0.5135  2 Tm 3.15, 3 Ho 3.35-3.49
Er  0.2816  0.7184  0.7961  1 Tm 3.02, 1 Ho 3.30, 2 Er 3.36
Er  0.3006  0.6994  0.1974  4 Er 3.36-3.73, 1 Tm 3.43, 3 Ho 3.44-3.76, 3 Dy 3.45-3.73
Er  0.3902  0.6098  0.5115  6 Er 3.41-3.73, 4 Ho 3.49-3.56, 1 Dy 3.73
Er  0.4795  0.5205  0.2273  2 Tm 3.11-3.21, 2 Er 3.41-3.45, 2 Ho 3.41
Er  0.5205  0.4795  0.7273  2 Tm 3.11-3.21, 2 Er 3.41-3.45, 2 Ho 3.41
Er  0.6098  0.3902  0.0115  6 Er 3.41-3.73, 4 Ho 3.49-3.56, 1 Dy 3.73
Er  0.6994  0.3006  0.6974  4 Er 3.36-3.73, 1 Tm 3.43, 3 Ho 3.44-3.76, 3 Dy 3.45-3.73
Er  0.7184  0.2816  0.2961  1 Tm 3.02, 1 Ho 3.30, 2 Er 3.36
Er  0.9816  0.0184  0.0135  2 Tm 3.15, 3 Ho 3.35-3.49
Tm  0.4129  0.5871  0.9464  5 Er 3.02-3.21
Tm  0.5871  0.4129  0.4464  5 Er 3.02-3.21

Computed properties:
Symmetry: Cmc2_1 (36)
VASP energy (eV/atom): -4.404
D(E_F) (states/eV per cell): 28.0
ΔE_f (eV/f.u.): 1.41

***

8.
DFT (GGA-PBE) results for crystalline Tb3Nd2Er3 at its relaxed geometry.

Cell: 8.8852 8.8852 16.8875 Å, 90.00 90.00 156.68°
Closest atoms and distances in Å follow each position.
Element x y z (fractional)
Tb  0.1091  0.8909  0.7500  1 Er 3.26, 2 Nd 3.49, 2 Tb 3.59
Tb  0.1446  0.8554  0.5141  3 Nd 3.34-3.52, 4 Er 3.49-3.58, 2 Tb 3.59
Tb  0.1446  0.8554  0.9859  3 Nd 3.34-3.52, 4 Er 3.49-3.58, 2 Tb 3.59
Tb  0.8554  0.1446  0.0141  3 Nd 3.34-3.52, 4 Er 3.49-3.58, 2 Tb 3.59
Tb  0.8554  0.1446  0.4859  3 Nd 3.34-3.52, 4 Er 3.49-3.58, 2 Tb 3.59
Tb  0.8909  0.1091  0.2500  1 Er 3.26, 2 Nd 3.49, 2 Tb 3.59
Nd  0.2843  0.7157  0.6496  4 Tb 3.34-3.52, 3 Nd 3.39-3.59, 2 Er 3.44
Nd  0.2843  0.7157  0.8504  4 Tb 3.34-3.52, 3 Nd 3.39-3.59, 2 Er 3.44
Nd  0.7157  0.2843  0.1496  4 Tb 3.34-3.52, 3 Nd 3.39-3.59, 2 Er 3.44
Nd  0.7157  0.2843  0.3504  4 Tb 3.34-3.52, 3 Nd 3.39-3.59, 2 Er 3.44
Er  0.0782  0.9218  0.2500  1 Tb 3.26, 6 Er 3.34-3.59, 4 Nd 3.44
Er  0.4944  0.5056  0.6006  5 Er 3.34-3.59, 6 Tb 3.49-3.69
Er  0.4944  0.5056  0.8994  5 Er 3.34-3.59, 6 Tb 3.49-3.69
Er  0.5056  0.4944  0.1006  5 Er 3.34-3.59, 6 Tb 3.49-3.69
Er  0.5056  0.4944  0.3994  5 Er 3.34-3.59, 6 Tb 3.49-3.69
Er  0.9218  0.0782  0.7500  1 Tb 3.26, 6 Er 3.34-3.59, 4 Nd 3.44

Computed properties:
Distance to the lowest polymorph of the same formula (eV per atom): 0.104
Symmetry: Cmcm (63)
VASP energy (eV/atom): -4.513
D(E_F) (states/eV per cell): 21.2
ΔE_f (eV/f.u.): 1.01